No. 1
Here is a relaxed DyHo2Cu crystal from Alexandria. Energies are from PBE.

a = 3.474 Å, b = 3.474 Å, c = 8.637 Å
α = 90.00°, β = 90.00°, γ = 90.00°
Fractional coordinates of all 4 atoms:
Dy  0.000  0.000  0.000
Ho  0.500  0.500  0.302
Ho  0.500  0.500  0.698
Cu  0.000  0.000  0.500

## Properties
symmetry = P4/mmm
magnetic moment = 0.0001 μB/atom
raw total energy = -4.56 eV per atom

---

No. 2
Here is a relaxed Dy2HoCu9 crystal from Alexandria. Energies are from PBE.

a = 8.847 Å, b = 8.847 Å, c = 8.847 Å
α = 33.77°, β = 33.77°, γ = 33.77°
Fractional coordinates of all 12 atoms:
Dy  0.141  0.141  0.141
Dy  0.859  0.859  0.859
Ho  0.000  0.000  0.000
Cu  0.082  0.582  0.582
Cu  0.332  0.332  0.332
Cu  0.418  0.418  0.918
Cu  0.418  0.918  0.418
Cu  0.500  0.500  0.500
Cu  0.582  0.082  0.582
Cu  0.582  0.582  0.082
Cu  0.668  0.668  0.668
Cu  0.918  0.418  0.418

## Properties
symmetry = R-3m
magnetic moment = 0.0000 μB/atom
raw total energy = -4.42 eV per atom

---

No. 3
Here is a relaxed DyHo3Cu crystal from Alexandria. Energies are from PBE.

a = 5.340 Å, b = 5.340 Å, c = 5.340 Å
α = 90.00°, β = 90.00°, γ = 90.00°
Fractional coordinates of all 5 atoms:
Dy  0.000  0.000  0.000
Ho  0.000  0.500  0.500
Ho  0.500  0.000  0.500
Ho  0.500  0.500  0.000
Cu  0.500  0.500  0.500

## Properties
symmetry = Pm-3m
magnetic moment = 0.0000 μB/atom
raw total energy = -4.36 eV per atom

---

No. 4
Here is a relaxed DyHo2Cu crystal from Alexandria. Energies are from PBE.

a = 6.254 Å, b = 6.254 Å, c = 7.517 Å
α = 90.00°, β = 90.00°, γ = 134.01°
Fractional coordinates of all 8 atoms:
Dy  0.044  0.956  0.750
Dy  0.956  0.044  0.250
Ho  0.352  0.648  0.532
Ho  0.352  0.648  0.968
Ho  0.648  0.352  0.032
Ho  0.648  0.352  0.468
Cu  0.201  0.799  0.250
Cu  0.799  0.201  0.750

## Properties
symmetry = Cmcm
magnetic moment = 0.0001 μB/atom
raw total energy = -4.53 eV per atom

---

No. 5
Here is a relaxed Dy2HoCu4 crystal from Alexandria. Energies are from PBE.

a = 6.749 Å, b = 6.749 Å, c = 6.749 Å
α = 135.65°, β = 135.65°, γ = 64.52°
Fractional coordinates of all 7 atoms:
Dy  0.212  0.212  0.000
Dy  0.788  0.788  0.000
Ho  0.500  0.500  0.000
Cu  0.117  0.617  0.500
Cu  0.383  0.883  0.500
Cu  0.617  0.117  0.500
Cu  0.883  0.383  0.500

## Properties
symmetry = I4/mmm
magnetic moment = 0.0000 μB/atom
raw total energy = -4.33 eV per atom

---

No. 6
Here is a relaxed DyHoCu crystal from Alexandria. Energies are from PBE.

a = 6.847 Å, b = 4.895 Å, c = 8.689 Å
α = 90.00°, β = 90.00°, γ = 90.00°
Fractional coordinates of all 12 atoms:
Dy  0.145  0.250  0.085
Dy  0.355  0.750  0.585
Dy  0.645  0.250  0.415
Dy  0.855  0.750  0.915
Ho  0.014  0.250  0.675
Ho  0.486  0.750  0.175
Ho  0.514  0.250  0.825
Ho  0.986  0.750  0.325
Cu  0.239  0.250  0.402
Cu  0.261  0.750  0.902
Cu  0.739  0.250  0.098
Cu  0.761  0.750  0.598

## Properties
symmetry = Pnma
magnetic moment = 0.0000 μB/atom
raw total energy = -4.59 eV per atom

---

No. 7
Here is a relaxed Dy3Ho2Cu3 crystal from Alexandria. Energies are from PBE.

a = 10.854 Å, b = 10.854 Å, c = 10.854 Å
α = 161.28°, β = 152.88°, γ = 33.15°
Fractional coordinates of all 8 atoms:
Dy  0.000  0.000  0.000
Dy  0.384  0.884  0.500
Dy  0.616  0.116  0.500
Ho  0.226  0.226  0.000
Ho  0.774  0.774  0.000
Cu  0.115  0.615  0.500
Cu  0.500  0.500  0.000
Cu  0.885  0.385  0.500

## Properties
symmetry = Immm
magnetic moment = 0.0000 μB/atom
raw total energy = -4.56 eV per atom

---

No. 8
Here is a relaxed DyHoCu crystal from Alexandria. Energies are from PBE.

a = 6.865 Å, b = 4.891 Å, c = 8.681 Å
α = 90.00°, β = 90.00°, γ = 90.00°
Fractional coordinates of all 12 atoms:
Dy  0.015  0.250  0.174
Dy  0.485  0.750  0.674
Dy  0.515  0.250  0.326
Dy  0.985  0.750  0.826
Ho  0.144  0.250  0.585
Ho  0.356  0.750  0.085
Ho  0.644  0.250  0.915
Ho  0.856  0.750  0.415
Cu  0.240  0.250  0.901
Cu  0.260  0.750  0.401
Cu  0.740  0.250  0.599
Cu  0.760  0.750  0.099

## Properties
symmetry = Pnma
magnetic moment = 0.0000 μB/atom
raw total energy = -4.59 eV per atom

---

No. 9
Here is a relaxed LaDyHoCu crystal from Alexandria. Energies are from PBE.

a = 3.532 Å, b = 3.532 Å, c = 8.802 Å
α = 90.00°, β = 90.00°, γ = 90.00°
Fractional coordinates of all 4 atoms:
La  0.000  0.000  0.000
Dy  0.500  0.500  0.687
Ho  0.500  0.500  0.312
Cu  0.000  0.000  0.498

## Properties
symmetry = P4mm
magnetic moment = 0.0000 μB/atom
raw total energy = -4.65 eV per atom

---

No. 10
Here is a relaxed DyHoMgCu crystal from Alexandria. Energies are from PBE.

a = 5.110 Å, b = 5.110 Å, c = 5.110 Å
α = 60.00°, β = 60.00°, γ = 60.00°
Fractional coordinates of all 4 atoms:
Dy  0.000  0.000  0.000
Ho  0.500  0.500  0.500
Mg  0.750  0.750  0.750
Cu  0.250  0.250  0.250

## Properties
symmetry = F-43m
magnetic moment = 0.0000 μB/atom
raw total energy = -3.78 eV per atom

---

No. 11
Here is a relaxed DyHoMgCu crystal from Alexandria. Energies are from PBE.

a = 3.480 Å, b = 3.480 Å, c = 7.986 Å
α = 90.00°, β = 90.00°, γ = 90.00°
Fractional coordinates of all 4 atoms:
Dy  0.000  0.000  0.000
Ho  0.000  0.000  0.579
Mg  0.500  0.500  0.290
Cu  0.500  0.500  0.787

## Properties
symmetry = P4mm
magnetic moment = 0.0000 μB/atom
raw total energy = -3.87 eV per atom

---

No. 12
Here is a relaxed DyHoMnCu crystal from Alexandria. Energies are from PBE.

a = 4.939 Å, b = 4.939 Å, c = 4.939 Å
α = 60.00°, β = 60.00°, γ = 60.00°
Fractional coordinates of all 4 atoms:
Dy  0.000  0.000  0.000
Ho  0.500  0.500  0.500
Mn  0.750  0.750  0.750
Cu  0.250  0.250  0.250

## Properties
symmetry = F-43m
magnetic moment = 0.7956 μB/atom
raw total energy = -5.59 eV per atom

---

No. 13
Here is a relaxed NdDyHoCu crystal from Alexandria. Energies are from PBE.

a = 3.520 Å, b = 3.520 Å, c = 8.702 Å
α = 90.00°, β = 90.00°, γ = 90.00°
Fractional coordinates of all 4 atoms:
Nd  0.000  0.000  0.000
Dy  0.500  0.500  0.691
Ho  0.500  0.500  0.307
Cu  0.000  0.000  0.497

## Properties
symmetry = P4mm
magnetic moment = 0.0000 μB/atom
raw total energy = -4.62 eV per atom

---

No. 14
Here is a relaxed DyHoCuOs crystal from Alexandria. Energies are from PBE.

a = 4.841 Å, b = 4.841 Å, c = 4.841 Å
α = 60.00°, β = 60.00°, γ = 60.00°
Fractional coordinates of all 4 atoms:
Dy  0.000  0.000  0.000
Ho  0.500  0.500  0.500
Cu  0.750  0.750  0.750
Os  0.250  0.250  0.250

## Properties
symmetry = F-43m
magnetic moment = 0.0000 μB/atom
raw total energy = -6.40 eV per atom

---

No. 15
Here is a relaxed DyHoCuPd crystal from Alexandria. Energies are from PBE.

a = 4.543 Å, b = 5.527 Å, c = 5.527 Å
α = 39.25°, β = 90.00°, γ = 90.00°
Fractional coordinates of all 4 atoms:
Dy  0.000  0.000  0.000
Ho  0.500  0.722  0.722
Cu  0.000  0.282  0.282
Pd  0.500  0.440  0.440

## Properties
symmetry = Amm2
magnetic moment = 0.0000 μB/atom
raw total energy = -5.22 eV per atom

---

No. 16
Here is a relaxed DyHoCuPd crystal from Alexandria. Energies are from PBE.

a = 4.929 Å, b = 4.929 Å, c = 4.929 Å
α = 60.00°, β = 60.00°, γ = 60.00°
Fractional coordinates of all 4 atoms:
Dy  0.000  0.000  0.000
Ho  0.500  0.500  0.500
Cu  0.250  0.250  0.250
Pd  0.750  0.750  0.750

## Properties
symmetry = F-43m
magnetic moment = 0.0000 μB/atom
raw total energy = -5.19 eV per atom

---

No. 17
Here is a relaxed PmDyHoCu crystal from Alexandria. Energies are from PBE.

a = 3.511 Å, b = 3.511 Å, c = 8.684 Å
α = 90.00°, β = 90.00°, γ = 90.00°
Fractional coordinates of all 4 atoms:
Pm  0.000  0.000  0.000
Dy  0.500  0.500  0.692
Ho  0.500  0.500  0.306
Cu  0.000  0.000  0.497

## Properties
symmetry = P4mm
magnetic moment = 0.0000 μB/atom
raw total energy = -4.61 eV per atom

---

No. 18
Here is a relaxed PrDyHoCu crystal from Alexandria. Energies are from PBE.

a = 3.529 Å, b = 3.529 Å, c = 8.726 Å
α = 90.00°, β = 90.00°, γ = 90.00°
Fractional coordinates of all 4 atoms:
Pr  0.000  0.000  0.000
Dy  0.500  0.500  0.690
Ho  0.500  0.500  0.309
Cu  0.000  0.000  0.497

## Properties
symmetry = P4mm
magnetic moment = 0.0000 μB/atom
raw total energy = -4.62 eV per atom

---

No. 19
Here is a relaxed DyHoCuPt crystal from Alexandria. Energies are from PBE.

a = 4.448 Å, b = 5.551 Å, c = 5.551 Å
α = 39.59°, β = 90.00°, γ = 90.00°
Fractional coordinates of all 4 atoms:
Dy  0.000  0.000  0.000
Ho  0.500  0.278  0.278
Cu  0.500  0.560  0.560
Pt  0.000  0.718  0.718

## Properties
symmetry = Amm2
magnetic moment = 0.0000 μB/atom
raw total energy = -5.65 eV per atom

---

No. 20
Here is a relaxed DyHoCuPt crystal from Alexandria. Energies are from PBE.

a = 4.912 Å, b = 4.912 Å, c = 4.912 Å
α = 60.00°, β = 60.00°, γ = 60.00°
Fractional coordinates of all 4 atoms:
Dy  0.000  0.000  0.000
Ho  0.500  0.500  0.500
Cu  0.750  0.750  0.750
Pt  0.250  0.250  0.250

## Properties
symmetry = F-43m
magnetic moment = 0.0000 μB/atom
raw total energy = -5.61 eV per atom